Below is a relaxed Cs2PaTe4 crystal, with properties calculated at the PBE-GGA level.

Calculated values
The value obtained for the excess energy over the best structure of this formula in the dataset is 98 meV per atom. The calculation puts the formation energy (no corrections) at -500 kJ/mol of formula units. The value obtained for the spin magnetization is 0.0000 μB/atom. The calculation puts the electronic total energy at -29.0 eV per formula unit.

a = 5.3399 Å, b = 5.3399 Å, c = 9.8972 Å
α = 105.65°, β = 105.65°, γ = 90.00°
Positions (direct):
Cs (0.7438, 0.7438, 0.4877)
Cs (0.2562, 0.2562, 0.5123)
Pa (0.0000, 0.0000, 0.0000)
Te (0.4037, 0.9037, 0.8075)
Te (0.9037, 0.4037, 0.8075)
Te (0.5963, 0.0963, 0.1925)
Te (0.0963, 0.5963, 0.1925)


Below is a relaxed Tc2HgCl crystal, with properties calculated at the PBE-GGA level.

Calculated values
The value obtained for the excess energy over the best structure of this formula in the dataset is 1103 meV per atom. The calculation puts the formation energy (no corrections) at 449 kJ/mol of formula units. The value obtained for the spin magnetization is 0.0000 μB/atom. The calculation puts the electronic total energy at -18.2 eV per formula unit.

a = 4.5398 Å, b = 4.5398 Å, c = 4.5398 Å
α = 60.00°, β = 60.00°, γ = 60.00°
Positions (direct):
Cl (0.0000, 0.0000, 0.0000)
Hg (0.5000, 0.5000, 0.5000)
Tc (0.2500, 0.2500, 0.2500)
Tc (0.7500, 0.7500, 0.7500)


Below is a relaxed Ho3TeRh crystal, with properties calculated at the PBE-GGA level.

Calculated values
The value obtained for the excess energy over the best structure of this formula in the dataset is 352 meV per atom. The calculation puts the formation energy (no corrections) at -267 kJ/mol of formula units. The value obtained for the spin magnetization is 0.0000 μB/atom. The calculation puts the electronic total energy at -27.0 eV per formula unit.

a = 4.5756 Å, b = 6.8588 Å, c = 9.8585 Å
α = 99.40°, β = 90.00°, γ = 90.00°
Positions (direct):
Ho (0.7500, 0.0404, 0.6932)
Ho (0.7500, 0.5608, 0.7007)
Ho (0.2500, 0.9596, 0.3068)
Ho (0.2500, 0.4392, 0.2993)
Ho (0.2500, 0.7023, 0.9783)
Ho (0.7500, 0.2977, 0.0217)
Te (0.2500, 0.2711, 0.5754)
Te (0.7500, 0.7289, 0.4246)
Rh (0.2500, 0.1207, 0.0808)
Rh (0.7500, 0.8793, 0.9192)


Below is a relaxed HoHfGe crystal, with properties calculated at the PBE-GGA level.

Calculated values
The energy relative to the elements is -0.512 eV per atom. The value obtained for the spin magnetization is 0.0000 μB/atom. The calculation puts the electronic total energy at -20.7 eV per formula unit.

a = 3.8698 Å, b = 5.8046 Å, c = 7.0729 Å
α = 65.77°, β = 74.12°, γ = 90.00°
Positions (direct):
Ge (0.3711, 0.3709, 0.2577)
Ge (0.6289, 0.6291, 0.7423)
Hf (0.9996, 0.2536, 0.0000)
Hf (0.0004, 0.7464, 0.0000)
Ho (0.6941, 0.1941, 0.6118)
Ho (0.3059, 0.8059, 0.3882)


Below is a relaxed Pr2YSc2 crystal, with properties calculated at the PBE-GGA level.

Calculated values
The energy relative to the elements is 0.050 eV per atom. The value obtained for the excess energy over the best structure of this formula in the dataset is 0 meV per atom. The value obtained for the spin magnetization is 0.0000 μB/atom. The calculation puts the electronic total energy at -28.4 eV per formula unit.

a = 6.1993 Å, b = 8.2890 Å, c = 9.4052 Å
α = 43.39°, β = 70.76°, γ = 68.04°
Positions (direct):
Pr (0.7953, 0.7614, 0.8328)
Pr (0.3894, 0.7386, 0.6672)
Pr (0.2047, 0.2386, 0.1672)
Pr (0.6106, 0.2614, 0.3328)
Y (0.5897, 0.7500, 0.2500)
Y (0.4103, 0.2500, 0.7500)
Sc (0.8316, 0.2384, 0.9461)
Sc (0.0161, 0.2616, 0.5539)
Sc (0.1684, 0.7616, 0.0539)
Sc (0.9839, 0.7384, 0.4461)


Below is a relaxed Pu2MnCo3 crystal, with properties calculated at the PBE-GGA level.

Calculated values
The energy relative to the elements is -0.011 eV per atom. The value obtained for the spin magnetization is 1.8505 μB/atom. The calculation puts the electronic total energy at -59.2 eV per formula unit.

a = 5.1326 Å, b = 5.1326 Å, c = 4.9017 Å
α = 90.00°, β = 121.55°, γ = 120.02°
Last column: magnetic moment on the atom in μB.
Positions (direct):
Pu (0.7547, 0.3774, 0.1320)  4.79
Pu (0.2453, 0.6226, 0.8680)  4.79
Mn (0.0000, 0.0000, 0.0000)  2.26
Co (0.5000, 0.5000, 0.5000)  -0.36
Co (0.0000, 0.0000, 0.5000)  -0.36
Co (0.5000, 0.0000, 0.5000)  -0.36


Below is a relaxed Zn2H8Ir crystal, with properties calculated at the PBE-GGA level.

Calculated values
The value obtained for the spin magnetization is 0.0000 μB/atom. The calculation puts the electronic total energy at -37.4 eV per formula unit.

a = 4.4404 Å, b = 5.3400 Å, c = 5.3400 Å
α = 92.58°, β = 96.10°, γ = 96.10°
Positions (direct):
Zn (0.4731, 0.8092, 0.8092)
Zn (0.5269, 0.1908, 0.1908)
H (0.2221, 0.9105, 0.2487)
H (0.2221, 0.2487, 0.9105)
H (0.7779, 0.0895, 0.7513)
H (0.5260, 0.4455, 0.4455)
H (0.7779, 0.7513, 0.0895)
H (0.0850, 0.7803, 0.7803)
H (0.9150, 0.2197, 0.2197)
H (0.4740, 0.5545, 0.5545)
Ir (0.0000, 0.0000, 0.0000)


Below is a relaxed La5Nd2Tm4 crystal, with properties calculated at the PBE-GGA level.

Calculated values
The energy relative to the elements is 0.152 eV per atom. The value obtained for the excess energy over the best structure of this formula in the dataset is 14 meV per atom. The value obtained for the spin magnetization is 0.0000 μB/atom. The calculation puts the electronic total energy at -50.4 eV per formula unit.

a = 3.5686 Å, b = 9.2851 Å, c = 12.8540 Å
α = 111.17°, β = 97.98°, γ = 90.00°
Positions (direct):
La (0.8561, 0.0569, 0.7123)
La (0.8561, 0.6554, 0.7123)
La (0.1439, 0.3446, 0.2877)
La (0.1439, 0.9431, 0.2877)
La (0.5000, 0.0000, 0.0000)
Nd (0.2681, 0.2681, 0.5361)
Nd (0.7319, 0.7319, 0.4639)
Tm (0.0000, 0.3195, 0.0000)
Tm (0.5956, 0.5956, 0.1911)
Tm (0.0000, 0.6805, 0.0000)
Tm (0.4044, 0.4044, 0.8089)


Below is a relaxed YTl4Br crystal, with properties calculated at the PBE-GGA level.

Calculated values
The calculation puts the formation energy (no corrections) at -29 kJ/mol of formula units. The value obtained for the spin magnetization is 0.0000 μB/atom. The calculation puts the electronic total energy at -17.9 eV per formula unit.

a = 6.3364 Å, b = 6.3364 Å, c = 6.3364 Å
α = 60.00°, β = 60.00°, γ = 60.00°
Positions (direct):
Y (0.7500, 0.7500, 0.7500)
Tl (0.8747, 0.3751, 0.3751)
Tl (0.3751, 0.3751, 0.8747)
Tl (0.3751, 0.8747, 0.3751)
Tl (0.3751, 0.3751, 0.3751)
Br (0.0000, 0.0000, 0.0000)


Below is a relaxed NaHf3N4 crystal, with properties calculated at the PBE-GGA level.

Calculated values
The calculation puts the formation energy (no corrections) at -1175 kJ/mol of formula units. The value obtained for the spin magnetization is 0.0000 μB/atom. The calculation puts the electronic total energy at -76.7 eV per formula unit.

a = 3.2312 Å, b = 3.2312 Å, c = 22.1478 Å
α = 90.00°, β = 90.00°, γ = 120.00°
Positions (direct):
Na (0.6667, 0.3333, 0.7500)
Na (0.3333, 0.6667, 0.2500)
Hf (0.0000, 0.0000, 0.0000)
Hf (0.0000, 0.0000, 0.5000)
Hf (0.3333, 0.6667, 0.8763)
Hf (0.6667, 0.3333, 0.1237)
Hf (0.6667, 0.3333, 0.3763)
Hf (0.3333, 0.6667, 0.6237)
N (0.6667, 0.3333, 0.9414)
N (0.3333, 0.6667, 0.0586)
N (0.3333, 0.6667, 0.4414)
N (0.6667, 0.3333, 0.5586)
N (0.0000, 0.0000, 0.8314)
N (0.0000, 0.0000, 0.1686)
N (0.0000, 0.0000, 0.3314)
N (0.0000, 0.0000, 0.6686)


Below is a relaxed HfTa2Fe3 crystal, with properties calculated at the PBE-GGA level.

Calculated values
The energy relative to the elements is -0.210 eV per atom. The value obtained for the spin magnetization is 0.3124 μB/atom. The calculation puts the electronic total energy at -60.3 eV per formula unit.

a = 3.0797 Å, b = 3.0797 Å, c = 9.3205 Å
α = 90.00°, β = 90.00°, γ = 90.00°
Last column: magnetic moment on the atom in μB.
Positions (direct):
Hf (0.5000, 0.5000, 0.5000)  -0.21
Ta (0.5000, 0.5000, 0.8353)  -0.19
Ta (0.5000, 0.5000, 0.1647)  -0.19
Fe (0.0000, 0.0000, 0.0000)  1.05
Fe (0.0000, 0.0000, 0.6776)  0.84
Fe (0.0000, 0.0000, 0.3224)  0.84


Below is a relaxed Li3Zr3Se8 crystal, with properties calculated at the PBE-GGA level.

Calculated values
The calculation puts the formation energy (no corrections) at -1621 kJ/mol of formula units. The value obtained for the spin magnetization is 0.0000 μB/atom. The calculation puts the electronic total energy at -76.1 eV per formula unit.

a = 8.0189 Å, b = 8.0189 Å, c = 8.0189 Å
α = 58.21°, β = 58.21°, γ = 58.21°
Positions (direct):
Li (0.3775, 0.3775, 0.3775)
Li (0.6225, 0.6225, 0.6225)
Li (0.0000, 0.0000, 0.0000)
Zr (0.5000, 0.0000, 0.0000)
Zr (0.0000, 0.5000, 0.0000)
Zr (0.0000, 0.0000, 0.5000)
Se (0.7541, 0.7541, 0.7541)
Se (0.2270, 0.7528, 0.7528)
Se (0.7528, 0.2270, 0.7528)
Se (0.7528, 0.7528, 0.2270)
Se (0.2459, 0.2459, 0.2459)
Se (0.7730, 0.2472, 0.2472)
Se (0.2472, 0.7730, 0.2472)
Se (0.2472, 0.2472, 0.7730)


Below is a relaxed Nd4Tl2Hg crystal, with properties calculated at the PBE-GGA level.

Calculated values
The energy relative to the elements is -0.206 eV per atom. The value obtained for the excess energy over the best structure of this formula in the dataset is 81 meV per atom. The value obtained for the spin magnetization is 0.0000 μB/atom. The calculation puts the electronic total energy at -25.5 eV per formula unit.

a = 7.4894 Å, b = 6.8157 Å, c = 9.7094 Å
α = 90.00°, β = 115.12°, γ = 90.00°
Positions (direct):
Nd (0.5551, 0.4920, 0.2276)
Nd (0.0148, 0.7500, 0.8415)
Nd (0.9852, 0.2500, 0.1585)
Nd (0.5551, 0.0080, 0.2276)
Nd (0.9655, 0.2500, 0.5559)
Nd (0.4449, 0.9920, 0.7724)
Nd (0.4449, 0.5080, 0.7724)
Nd (0.0345, 0.7500, 0.4441)
Tl (0.7709, 0.7500, 0.0608)
Tl (0.2291, 0.2500, 0.9392)
Tl (0.3967, 0.2500, 0.4627)
Tl (0.6033, 0.7500, 0.5373)
Hg (0.2059, 0.7500, 0.2012)
Hg (0.7941, 0.2500, 0.7988)


Below is a relaxed LaZnBr2 crystal, with properties calculated at the PBE-GGA level.

Calculated values
The value obtained for the excess energy over the best structure of this formula in the dataset is 165 meV per atom. The calculation puts the formation energy (no corrections) at -360 kJ/mol of formula units. The value obtained for the spin magnetization is 0.2175 μB/atom. The calculation puts the electronic total energy at -13.3 eV per formula unit.

a = 9.8112 Å, b = 9.8112 Å, c = 9.8112 Å
α = 23.58°, β = 23.58°, γ = 23.58°
Last column: magnetic moment on the atom in μB.
Positions (direct):
Br (0.0293, 0.0293, 0.0293)  0.02
Br (0.2301, 0.2301, 0.2301)  0.01
La (0.4942, 0.4942, 0.4942)  0.35
Zn (0.7464, 0.7464, 0.7464)  0.00


Below is a relaxed Li2Er2GaPd5 crystal, with properties calculated at the PBE-GGA level.

Calculated values
The energy relative to the elements is -0.703 eV per atom. The value obtained for the spin magnetization is 0.0000 μB/atom. The calculation puts the electronic total energy at -49.0 eV per formula unit.

a = 3.5676 Å, b = 9.5688 Å, c = 9.5688 Å
α = 90.00°, β = 90.00°, γ = 90.00°
Positions (direct):
Li (0.0000, 0.1224, 0.6224)
Li (0.0000, 0.8776, 0.3776)
Li (0.0000, 0.6224, 0.8776)
Li (0.0000, 0.3776, 0.1224)
Er (0.0000, 0.6767, 0.1767)
Er (0.0000, 0.3233, 0.8233)
Er (0.0000, 0.1767, 0.3233)
Er (0.0000, 0.8233, 0.6767)
Ga (0.0000, 0.0000, 0.0000)
Ga (0.0000, 0.5000, 0.5000)
Pd (0.5000, 0.2030, 0.0663)
Pd (0.5000, 0.7970, 0.9337)
Pd (0.5000, 0.0663, 0.7970)
Pd (0.5000, 0.7030, 0.4337)
Pd (0.5000, 0.9337, 0.2030)
Pd (0.5000, 0.2970, 0.5663)
Pd (0.5000, 0.5663, 0.7030)
Pd (0.5000, 0.4337, 0.2970)
Pd (0.5000, 0.5000, 0.0000)
Pd (0.5000, 0.0000, 0.5000)


Below is a relaxed Sm2ScCuS5 crystal, with properties calculated at the PBE-GGA level.

Calculated values
The calculation puts the formation energy (no corrections) at -1495 kJ/mol of formula units. The value obtained for the spin magnetization is 0.0000 μB/atom. The calculation puts the electronic total energy at -56.0 eV per formula unit.

a = 3.8305 Å, b = 8.4578 Å, c = 11.4322 Å
α = 90.00°, β = 90.00°, γ = 103.09°
Positions (direct):
Sm (0.8741, 0.7483, 0.8091)
Sm (0.1096, 0.2193, 0.6874)
Sm (0.1259, 0.2517, 0.3091)
Sm (0.8904, 0.7807, 0.1874)
Sc (0.8058, 0.6117, 0.5118)
Sc (0.1942, 0.3883, 0.0118)
Cu (0.5628, 0.1255, 0.9535)
Cu (0.4372, 0.8745, 0.4535)
S (0.3537, 0.7073, 0.0023)
S (0.6908, 0.3816, 0.8540)
S (0.4980, 0.9960, 0.7790)
S (0.2870, 0.5741, 0.6664)
S (0.9524, 0.9048, 0.5605)
S (0.6463, 0.2927, 0.5023)
S (0.3092, 0.6184, 0.3540)
S (0.5020, 0.0040, 0.2790)
S (0.7130, 0.4259, 0.1664)
S (0.0476, 0.0952, 0.0605)


Below is a relaxed CaNdDyHo crystal, with properties calculated at the PBE-GGA level.

Calculated values
The energy relative to the elements is 0.141 eV per atom. The value obtained for the spin magnetization is 0.0000 μB/atom. The calculation puts the electronic total energy at -15.4 eV per formula unit.

a = 5.7834 Å, b = 5.7834 Å, c = 5.7834 Å
α = 60.00°, β = 60.00°, γ = 60.00°
Positions (direct):
Ca (0.2500, 0.2500, 0.2500)
Nd (0.5000, 0.5000, 0.5000)
Ho (0.7500, 0.7500, 0.7500)
Dy (0.0000, 0.0000, 0.0000)


Below is a relaxed TcRh2 crystal, with properties calculated at the PBE-GGA level.

Calculated values
The energy relative to the elements is 0.228 eV per atom. The value obtained for the excess energy over the best structure of this formula in the dataset is 373 meV per atom. The value obtained for the spin magnetization is 0.0000 μB/atom. The calculation puts the electronic total energy at -24.4 eV per formula unit.

a = 4.0659 Å, b = 17.3582 Å, c = 2.6718 Å
α = 90.00°, β = 90.00°, γ = 90.00°
Positions (direct):
Rh (0.2500, 0.0419, 0.0000)
Rh (0.2500, 0.1884, 0.0000)
Rh (0.7500, 0.8116, 0.0000)
Rh (0.7500, 0.9581, 0.0000)
Rh (0.2500, 0.3116, 0.5000)
Rh (0.2500, 0.4581, 0.5000)
Rh (0.7500, 0.5419, 0.5000)
Rh (0.7500, 0.6884, 0.5000)
Tc (0.2500, 0.6046, 0.0000)
Tc (0.7500, 0.3954, 0.0000)
Tc (0.2500, 0.8954, 0.5000)
Tc (0.7500, 0.1046, 0.5000)


Below is a relaxed BaReI3 crystal, with properties calculated at the PBE-GGA level.

Calculated values
The value obtained for the excess energy over the best structure of this formula in the dataset is 470 meV per atom. The calculation puts the formation energy (no corrections) at 206 kJ/mol of formula units. The value obtained for the spin magnetization is 1.2000 μB/atom. The calculation puts the electronic total energy at -16.9 eV per formula unit.

a = 6.6958 Å, b = 6.6958 Å, c = 6.6958 Å
α = 90.00°, β = 90.00°, γ = 90.00°
Last column: magnetic moment on the atom in μB.
Positions (direct):
I (0.0000, 0.5000, 0.0000)  0.06
I (0.0000, 0.0000, 0.5000)  0.05
I (0.5000, 0.0000, 0.0000)  0.04
Re (0.5000, 0.5000, 0.5000)  4.54
Ba (0.0000, 0.0000, 0.0000)  0.00


Below is a relaxed SrZrI2N crystal, with properties calculated at the PBE-GGA level.

Calculated values
The value obtained for the excess energy over the best structure of this formula in the dataset is 0 meV per atom. The calculation puts the formation energy (no corrections) at -331 kJ/mol of formula units. The value obtained for the spin magnetization is 0.0007 μB/atom. The calculation puts the electronic total energy at -25.1 eV per formula unit.

a = 5.9637 Å, b = 5.9637 Å, c = 4.1367 Å
α = 90.00°, β = 90.00°, γ = 90.00°
Positions (direct):
I (0.0000, 0.5000, 0.0000)
I (0.5000, 0.0000, 0.0000)
Sr (0.5000, 0.5000, 0.5000)
Zr (0.0000, 0.0000, 0.0000)
N (0.0000, 0.0000, 0.5000)